Compound: Nd5Ru2I2
Source: the Alexandria database
Functional: GGA-PBE
Structure: relaxed

Computed properties:
Its energy relative to the elements, uncorrected is -54 kJ per mole of atoms.

a b c (Å): 17.080 8.067 8.066
angles (deg): 90.00 90.00 90.00
Space group Cmce (No. 64)
Asymmetric unit:
Nd 0.000 0.000 0.000 [4 per cell]
Nd 0.105 0.156 0.345 [16 per cell]
Ru 0.000 0.143 0.642 [8 per cell]
I 0.215 0.000 0.000 [8 per cell]

---

Compound: Nd4Ru2I5
Source: the Alexandria database
Functional: GGA-PBE
Structure: relaxed

Computed properties:
Its energy relative to the elements, uncorrected is -74 kJ per mole of atoms.

a b c (Å): 22.768 4.256 8.837
angles (deg): 90.00 96.96 90.00
Space group C2/m (No. 12)
Asymmetric unit:
Nd 0.027 0.000 0.210 [4 per cell]
Nd 0.160 0.500 0.076 [4 per cell]
Ru 0.053 0.500 0.004 [4 per cell]
I 0.000 0.500 0.500 [2 per cell]
I 0.165 0.000 0.351 [4 per cell]
I 0.194 0.000 0.827 [4 per cell]

---

Compound: Nd4Ru2I5
Source: the Alexandria database
Functional: GGA-PBE
Structure: relaxed

Computed properties:
Its energy relative to the elements, uncorrected is -68 kJ per mole of atoms.

a b c (Å): 4.290 8.868 20.194
angles (deg): 90.00 90.00 90.00
Space group Immm (No. 71)
Asymmetric unit:
Nd 0.000 0.000 0.179 [4 per cell]
Nd 0.000 0.295 0.500 [4 per cell]
Ru 0.000 0.000 0.059 [4 per cell]
I 0.000 0.224 0.332 [8 per cell]
I 0.000 0.500 0.000 [2 per cell]

---

Compound: Nd3RuI
Source: the Alexandria database
Functional: GGA-PBE
Structure: relaxed

Computed properties:
Its energy relative to the elements, uncorrected is -44 kJ per mole of atoms.

a b c (Å): 3.958 9.579 8.773
angles (deg): 90.00 90.00 90.00
Space group Pmmn (No. 59, origin choice 2)
Asymmetric unit:
Nd 0.250 0.074 0.149 [4 per cell]
Nd 0.250 0.250 0.759 [2 per cell]
Ru 0.250 0.750 0.025 [2 per cell]
I 0.250 0.750 0.567 [2 per cell]

---

Compound: Nd7RuI12
Source: the Alexandria database
Functional: GGA-PBE
Structure: relaxed

Computed properties:
Its energy relative to the elements, uncorrected is -119 kJ per mole of atoms.

a b c (Å): 16.1780 16.1780 11.1760
angles (deg): 90.00 90.00 120.00
Space group R-3 (No. 148, hexagonal axes)
Asymmetric unit:
Nd 0.0000 0.0000 0.0000 [3 per cell]
Nd 0.0431 0.8835 0.3584 [18 per cell]
Ru 0.0000 0.0000 0.5000 [3 per cell]
I 0.0208 0.4345 0.1605 [18 per cell]
I 0.0489 0.8710 0.8369 [18 per cell]

---

Compound: NdRuI
Source: the Alexandria database
Functional: GGA-PBE
Structure: relaxed

Computed properties:
Its energy relative to the elements, uncorrected is -73 kJ per mole of atoms.

a b c (Å): 7.312 4.322 12.607
angles (deg): 90.00 101.71 90.00
Space group C2/m (No. 12)
Asymmetric unit:
Nd 0.058 0.000 0.164 [4 per cell]
Ru 0.177 0.500 0.994 [4 per cell]
I 0.222 0.000 0.661 [4 per cell]

---

Compound: Nd3RuI
Source: the Alexandria database
Functional: GGA-PBE
Structure: relaxed

Computed properties:
Its energy relative to the elements, uncorrected is -42 kJ per mole of atoms.

a b c (Å): 4.234 7.284 10.132
angles (deg): 90.00 90.00 90.00
Space group Pmmn (No. 59, origin choice 2)
Asymmetric unit:
Nd 0.250 0.000 0.144 [4 per cell]
Nd 0.250 0.250 0.614 [2 per cell]
Ru 0.250 0.250 0.900 [2 per cell]
I 0.250 0.750 0.643 [2 per cell]

---

Compound: Nd4RuI5
Source: the Alexandria database
Functional: GGA-PBE
Structure: relaxed

Computed properties:
Its energy relative to the elements, uncorrected is -105 kJ per mole of atoms.

a b c (Å): 19.690 4.264 9.341
angles (deg): 90.00 103.42 90.00
Space group C2/m (No. 12)
Asymmetric unit:
Nd 0.000 0.000 0.210 [4 per cell]
Nd 0.140 0.500 0.073 [4 per cell]
Ru 0.000 0.500 0.000 [2 per cell]
I 0.000 0.500 0.500 [2 per cell]
I 0.168 0.000 0.340 [4 per cell]
I 0.173 0.000 0.832 [4 per cell]

---

Compound: Nd3RuI2
Source: the Alexandria database
Functional: GGA-PBE
Structure: relaxed

Computed properties:
Its energy relative to the elements, uncorrected is -69 kJ per mole of atoms.

a b c (Å): 4.070 6.153 15.430
angles (deg): 90.00 90.00 90.00
Space group Immm (No. 71)
Asymmetric unit:
Nd 0.000 0.000 0.000 [2 per cell]
Nd 0.000 0.000 0.381 [4 per cell]
Ru 0.000 0.500 0.000 [2 per cell]
I 0.000 0.500 0.314 [4 per cell]

---

Compound: Nd6Ru2SI3
Source: the Alexandria database
Functional: GGA-PBE
Structure: relaxed

Computed properties:
Its energy relative to the elements, uncorrected is -91 kJ per mole of atoms.

a b c (Å): 7.290 12.615 8.397
angles (deg): 90.00 106.79 90.00
Space group C2/m (No. 12)
Asymmetric unit:
Nd 0.215 0.000 0.186 [4 per cell]
Nd 0.235 0.326 0.187 [8 per cell]
Ru 0.000 0.167 0.000 [4 per cell]
S 0.000 0.500 0.000 [2 per cell]
I 0.000 0.000 0.500 [2 per cell]
I 0.000 0.335 0.500 [4 per cell]

---

Compound: Nd6SiRu2I3
Source: the Alexandria database
Functional: GGA-PBE
Structure: relaxed

Computed properties:
Its energy relative to the elements, uncorrected is -69 kJ per mole of atoms.

a b c (Å): 7.349 12.738 8.399
angles (deg): 90.00 107.14 90.00
Space group C2/m (No. 12)
Asymmetric unit:
Nd 0.214 0.000 0.187 [4 per cell]
Nd 0.236 0.326 0.188 [8 per cell]
Si 0.000 0.500 0.000 [2 per cell]
Ru 0.000 0.167 0.000 [4 per cell]
I 0.000 0.000 0.500 [2 per cell]
I 0.000 0.336 0.500 [4 per cell]

---

Compound: NdSmRuI
Source: the Alexandria database
Functional: GGA-PBE
Structure: relaxed

Computed properties:
Its energy relative to the elements, uncorrected is -58 kJ per mole of atoms.

a b c (Å): 7.151 4.114 8.508
angles (deg): 90.00 106.37 90.00
Space group Cm (No. 8)
Asymmetric unit:
Nd 0.000 0.000 0.000 [2 per cell]
Sm 0.210 0.000 0.629 [2 per cell]
Ru 0.104 0.500 0.812 [2 per cell]
I 0.274 0.500 0.319 [2 per cell]

---

Compound: Nd6SnRu2I3
Source: the Alexandria database
Functional: GGA-PBE
Structure: relaxed

Computed properties:
Its energy relative to the elements, uncorrected is -69 kJ per mole of atoms.

a b c (Å): 7.444 12.907 8.491
angles (deg): 90.00 107.15 90.00
Space group C2/m (No. 12)
Asymmetric unit:
Nd 0.196 0.000 0.192 [4 per cell]
Nd 0.248 0.316 0.193 [8 per cell]
Sn 0.000 0.500 0.000 [2 per cell]
Ru 0.000 0.167 0.000 [4 per cell]
I 0.000 0.000 0.500 [2 per cell]
I 0.000 0.339 0.500 [4 per cell]

---

Compound: TbNdRuI
Source: the Alexandria database
Functional: GGA-PBE
Structure: relaxed

Computed properties:
Its energy relative to the elements, uncorrected is -58 kJ per mole of atoms.

a b c (Å): 4.0917 4.0917 24.3194
angles (deg): 90.00 90.00 120.00
Space group R3m (No. 160, hexagonal axes)
Asymmetric unit:
Tb 0.0000 0.0000 0.0000 [3 per cell]
Nd 0.0000 0.0000 0.7899 [3 per cell]
Ru 0.0000 0.0000 0.3931 [3 per cell]
I 0.0000 0.0000 0.5646 [3 per cell]

---

Compound: Nd6TlRu2I3
Source: the Alexandria database
Functional: GGA-PBE
Structure: relaxed

Computed properties:
Its energy relative to the elements, uncorrected is -63 kJ per mole of atoms.

a b c (Å): 7.423 12.843 8.550
angles (deg): 90.00 106.81 90.00
Space group C2/m (No. 12)
Asymmetric unit:
Nd 0.193 0.000 0.192 [4 per cell]
Nd 0.249 0.185 0.807 [8 per cell]
Tl 0.000 0.500 0.000 [2 per cell]
Ru 0.000 0.167 0.000 [4 per cell]
I 0.000 0.000 0.500 [2 per cell]
I 0.000 0.338 0.500 [4 per cell]

---

Compound: Nd6ZnRu2I3
Source: the Alexandria database
Functional: GGA-PBE
Structure: relaxed

Computed properties:
Its energy relative to the elements, uncorrected is -63 kJ per mole of atoms.

a b c (Å): 7.304 12.649 8.524
angles (deg): 90.00 106.57 90.00
Space group C2/m (No. 12)
Asymmetric unit:
Nd 0.207 0.000 0.188 [4 per cell]
Nd 0.241 0.322 0.189 [8 per cell]
Zn 0.000 0.500 0.000 [2 per cell]
Ru 0.000 0.167 0.000 [4 per cell]
I 0.000 0.000 0.500 [2 per cell]
I 0.000 0.335 0.500 [4 per cell]

---

Compound: NdS2I2
Source: the Alexandria database
Functional: GGA-PBE
Structure: relaxed

Computed properties:
Its energy relative to the elements, uncorrected is -89 kJ per mole of atoms.

a b c (Å): 4.512 5.585 15.685
angles (deg): 90.00 90.00 90.00
Space group Immm (No. 71)
Asymmetric unit:
Nd 0.000 0.000 0.000 [2 per cell]
S 0.218 0.000 0.500 [4 per cell]
I 0.000 0.500 0.355 [4 per cell]

---

Compound: Nd6S8I
Source: the Alexandria database
Functional: GGA-PBE
Structure: relaxed

Computed properties:
Its energy relative to the elements, uncorrected is -181 kJ per mole of atoms.

a b c (Å): 8.0424 8.0424 21.6465
angles (deg): 90.00 90.00 120.00
Space group R-3 (No. 148, hexagonal axes)
Asymmetric unit:
Nd 0.0049 0.3651 0.0859 [18 per cell]
S 0.0000 0.0000 0.3323 [6 per cell]
S 0.9997 0.3080 0.8832 [18 per cell]
I 0.0000 0.0000 0.0000 [3 per cell]

---

Compound: Nd4SI5
Source: the Alexandria database
Functional: GGA-PBE
Structure: relaxed

Computed properties:
Its energy relative to the elements, uncorrected is -138 kJ per mole of atoms.

a b c (Å): 19.340 4.216 8.973
angles (deg): 90.00 103.16 90.00
Space group C2/m (No. 12)
Asymmetric unit:
Nd 0.002 0.000 0.295 [4 per cell]
Nd 0.144 0.500 0.568 [4 per cell]
S 0.000 0.500 0.500 [2 per cell]
I 0.000 0.500 0.000 [2 per cell]
I 0.165 0.000 0.839 [4 per cell]
I 0.172 0.000 0.317 [4 per cell]

---

Compound: NdS14I
Source: the Alexandria database
Functional: GGA-PBE
Structure: relaxed

Computed properties:
Its energy relative to the elements, uncorrected is -16 kJ per mole of atoms.

a b c (Å): 19.921 15.167 8.200
angles (deg): 90.00 113.45 90.00
Space group C2/c (No. 15)
Asymmetric unit:
Nd 0.000 0.000 0.000 [4 per cell]
S 0.054 0.161 0.243 [8 per cell]
S 0.076 0.177 0.659 [8 per cell]
S 0.101 0.072 0.840 [8 per cell]
S 0.117 0.430 0.306 [8 per cell]
S 0.122 0.102 0.477 [8 per cell]
S 0.183 0.434 0.575 [8 per cell]
S 0.186 0.440 0.174 [8 per cell]
I 0.000 0.315 0.750 [4 per cell]

---

Compound: Nd2SI4
Source: the Alexandria database
Functional: GGA-PBE
Structure: relaxed

Computed properties:
Its energy relative to the elements, uncorrected is -145 kJ per mole of atoms.

a b c (Å): 13.651 13.651 3.983
angles (deg): 90.00 90.00 90.00
Space group P4_2/mnm (No. 136)
Asymmetric unit:
Nd 0.107 0.107 0.000 [4 per cell]
S 0.000 0.000 0.500 [2 per cell]
I 0.064 0.279 0.500 [8 per cell]